1.
Y3Mg2Cu2: optimized geometry, PBE-GGA.

Summary:
E above lowest polymorph = 14.0 meV per atom

Unit cell a=3.908 b=23.748 c=3.596 alpha=90.00 beta=90.00 gamma=90.00
Space group Cmmm (No. 65)
Symmetry-distinct sites (fractional):
1 Y 0.000 0.000 0.000
2 Y 0.000 0.402 0.500
3 Mg 0.000 0.189 0.000
4 Cu 0.000 0.281 0.500

---

2.
Y2Mg4Cu: optimized geometry, PBE-GGA.

Summary:
E above lowest polymorph = 0.0 meV per atom

Unit cell a=5.0848 b=5.0848 c=22.0263 alpha=90.00 beta=90.00 gamma=120.00
Space group R-3m (No. 166, hexagonal axes)
Symmetry-distinct sites (fractional):
1 Y 0.0000 0.0000 0.2116
2 Mg 0.0000 0.0000 0.0648
3 Mg 0.0000 0.0000 0.3660
4 Cu 0.0000 0.0000 0.5000

---

3.
Y3MgCu2: optimized geometry, PBE-GGA.

Unit cell a=7.942 b=13.775 c=6.259 alpha=90.00 beta=90.00 gamma=90.00
Space group Cmcm (No. 63)
Symmetry-distinct sites (fractional):
1 Y 0.000 0.190 0.250
2 Y 0.215 0.405 0.250
3 Mg 0.000 0.000 0.000
4 Cu 0.000 0.333 0.566

---

4.
Y2MgCu2: optimized geometry, PBE-GGA.

Summary:
E above lowest polymorph = 272.3 meV per atom

Unit cell a=3.498 b=3.498 c=18.718 alpha=90.00 beta=90.00 gamma=90.00
Space group I4/mmm (No. 139)
Symmetry-distinct sites (fractional):
1 Y 0.000 0.000 0.123
2 Mg 0.000 0.000 0.500
3 Cu 0.000 0.500 0.250

---

Formation energy from the elements (eV/atom)
-0.052, -0.046, 0.403, 0.023